No. 1
First-principles (PBE) data for a relaxed structure of EuYCdHg, as listed in Alexandria.

Cell lengths 7.6322, 7.6322, 7.6322 Å; angles 90.00, 90.00, 90.00 degrees
Closest atoms and distances in Å follow each position.
Atoms (fractional coordinates):
Eu 0.0000 0.0000 0.0000  4 Hg 3.30, 4 Cd 3.30
Eu 0.0000 0.5000 0.5000  4 Hg 3.30, 4 Cd 3.30
Eu 0.5000 0.0000 0.5000  4 Hg 3.30, 4 Cd 3.30
Eu 0.5000 0.5000 0.0000  4 Hg 3.30, 4 Cd 3.30
Y 0.0000 0.0000 0.5000  4 Cd 3.30, 4 Hg 3.30
Y 0.0000 0.5000 0.0000  4 Cd 3.30, 4 Hg 3.30
Y 0.5000 0.0000 0.0000  4 Cd 3.30, 4 Hg 3.30
Y 0.5000 0.5000 0.5000  4 Cd 3.30, 4 Hg 3.30
Cd 0.2500 0.2500 0.7500  4 Eu 3.30, 4 Y 3.30
Cd 0.2500 0.7500 0.2500  4 Eu 3.30, 4 Y 3.30
Cd 0.7500 0.2500 0.2500  4 Eu 3.30, 4 Y 3.30
Cd 0.7500 0.7500 0.7500  4 Eu 3.30, 4 Y 3.30
Hg 0.2500 0.2500 0.2500  4 Eu 3.30, 4 Y 3.30
Hg 0.2500 0.7500 0.7500  4 Eu 3.30, 4 Y 3.30
Hg 0.7500 0.2500 0.7500  4 Eu 3.30, 4 Y 3.30
Hg 0.7500 0.7500 0.2500  4 Eu 3.30, 4 Y 3.30

Results
D(E_F): 34.55 states/eV per cell
E_form: -0.406 eV/atom
M_tot: 1.73 μB/atom
VASP energy: -4.895 eV/atom



No. 2
First-principles (PBE) data for a relaxed structure of Fe2CuMo, as listed in Alexandria.

Cell lengths 2.6162, 3.6992, 5.1797 Å; angles 90.00, 90.00, 90.00 degrees
Closest atoms and distances in Å follow each position.
Atoms (fractional coordinates):
Fe 0.0000 0.0000 0.0000  2 Mo 2.49-2.69, 6 Fe 2.58-2.62, 4 Cu 2.58
Fe 0.5000 0.5000 0.2399  2 Cu 2.49-2.69, 6 Fe 2.58-2.62, 4 Mo 2.59
Cu 0.5000 0.5000 0.7600  6 Fe 2.49-2.69, 2 Cu 2.62, 4 Mo 2.69
Mo 0.0000 0.0000 0.4815  6 Fe 2.49-2.69, 2 Mo 2.62, 4 Cu 2.69

Results
D(E_F): 4.08 states/eV per cell
E_form: 0.216 eV/atom
M_tot: 0.75 μB/atom
VASP energy: -7.748 eV/atom
energy above the lowest structure with this stoichiometry: 66 meV per atom



No. 3
First-principles (PBE) data for a relaxed structure of RbPNO2, as listed in Alexandria.

Cell lengths 4.5820, 4.5820, 3.4704 Å; angles 90.00, 90.00, 90.00 degrees
Closest atoms and distances in Å follow each position.
Atoms (fractional coordinates):
Rb 0.0000 0.0000 0.0000  8 O 2.87
P 0.5000 0.5000 0.0000  2 N 1.74
N 0.5000 0.5000 0.5000  2 P 1.74
O 0.0000 0.5000 0.5000  2 N 2.29
O 0.5000 0.0000 0.5000  2 N 2.29

Results
D(E_F): 2.83 states/eV per cell
M_tot: 0.06 μB/atom
ΔE_f (raw): 0.750 eV per atom
VASP energy: -4.174 eV/atom



No. 4
First-principles (PBE) data for a relaxed structure of KYRu2, as listed in Alexandria.

Cell lengths 4.6432, 4.6432, 19.5821 Å; angles 90.00, 90.00, 90.00 degrees
Closest atoms and distances in Å follow each position.
Atoms (fractional coordinates):
K 0.0000 0.0000 0.0000  4 Ru 3.27, 4 Y 3.28
K 0.0000 0.5000 0.2500  4 Ru 3.27, 4 Y 3.28
K 0.5000 0.0000 0.7500  4 Ru 3.27, 4 Y 3.28
K 0.5000 0.5000 0.5000  4 Ru 3.27, 4 Y 3.28
Y 0.0000 0.0000 0.5000  4 Ru 2.75
Y 0.0000 0.5000 0.7500  4 Ru 2.75
Y 0.5000 0.0000 0.2500  4 Ru 2.75
Y 0.5000 0.5000 0.0000  4 Ru 2.75
Ru 0.1040 0.2500 0.6250  2 Ru 2.51, 2 Y 2.75
Ru 0.2500 0.6040 0.8750  2 Ru 2.51, 2 Y 2.75
Ru 0.2500 0.8960 0.3750  2 Ru 2.51, 2 Y 2.75
Ru 0.3960 0.2500 0.1250  2 Ru 2.51, 2 Y 2.75
Ru 0.6040 0.7500 0.1250  2 Ru 2.51, 2 Y 2.75
Ru 0.7500 0.1040 0.3750  2 Ru 2.51, 2 Y 2.75
Ru 0.7500 0.3960 0.8750  2 Ru 2.51, 2 Y 2.75
Ru 0.8960 0.7500 0.6250  2 Ru 2.51, 2 Y 2.75

Results
D(E_F): 9.97 states/eV per cell
E_form: 1.004 eV/atom
M_tot: 0.00 μB/atom
VASP energy: -5.525 eV/atom
energy above the lowest structure with this stoichiometry: 680 meV per atom



No. 5
First-principles (PBE) data for a relaxed structure of MgInF2, as listed in Alexandria.

Cell lengths 3.6315, 3.6315, 22.2025 Å; angles 90.00, 90.00, 120.00 degrees
Closest atoms and distances in Å follow each position.
Atoms (fractional coordinates):
Mg 0.0000 0.0000 0.0000  2 F 1.90
Mg 0.3333 0.6667 0.6667  2 F 1.90
Mg 0.6667 0.3333 0.3333  2 F 1.90
In 0.0000 0.0000 0.5000  6 F 2.77
In 0.3333 0.6667 0.1667  6 F 2.77
In 0.6667 0.3333 0.8333  6 F 2.77
F 0.0000 0.0000 0.0854  1 Mg 1.90
F 0.0000 0.0000 0.9146  1 Mg 1.90
F 0.3333 0.6667 0.5813  1 Mg 1.90
F 0.3333 0.6667 0.7521  1 Mg 1.90
F 0.6667 0.3333 0.2479  1 Mg 1.90
F 0.6667 0.3333 0.4187  1 Mg 1.90

Results
D(E_F): 3.03 states/eV per cell
M_tot: 0.00 μB/atom
ΔE_f (raw): -1.799 eV per atom
VASP energy: -3.818 eV/atom
energy above the lowest structure with this stoichiometry: 675 meV per atom



No. 6
First-principles (PBE) data for a relaxed structure of Mn2ZnOs, as listed in Alexandria.

Cell lengths 3.7674, 3.7674, 3.6540 Å; angles 90.00, 90.00, 90.00 degrees
Closest atoms and distances in Å follow each position.
Atoms (fractional coordinates):
Mn 0.0000 0.5000 0.0000  4 Os 2.62, 4 Zn 2.62, 4 Mn 2.66
Mn 0.5000 0.0000 0.0000  4 Os 2.62, 4 Zn 2.62, 4 Mn 2.66
Zn 0.0000 0.0000 0.5000  8 Mn 2.62, 4 Os 2.66
Os 0.5000 0.5000 0.5000  8 Mn 2.62, 4 Zn 2.66

Results
D(E_F): 5.15 states/eV per cell
E_form: 0.208 eV/atom
M_tot: 1.12 μB/atom
VASP energy: -7.502 eV/atom



No. 7
First-principles (PBE) data for a relaxed structure of CeTmTlIr, as listed in Alexandria.

Cell lengths 7.2547, 7.2547, 7.2547 Å; angles 90.00, 90.00, 90.00 degrees
Closest atoms and distances in Å follow each position.
Atoms (fractional coordinates):
Ce 0.0000 0.0000 0.0000  4 Tl 3.14, 4 Ir 3.14
Ce 0.0000 0.5000 0.5000  4 Tl 3.14, 4 Ir 3.14
Ce 0.5000 0.0000 0.5000  4 Tl 3.14, 4 Ir 3.14
Ce 0.5000 0.5000 0.0000  4 Tl 3.14, 4 Ir 3.14
Tm 0.0000 0.0000 0.5000  4 Tl 3.14, 4 Ir 3.14
Tm 0.0000 0.5000 0.0000  4 Tl 3.14, 4 Ir 3.14
Tm 0.5000 0.0000 0.0000  4 Tl 3.14, 4 Ir 3.14
Tm 0.5000 0.5000 0.5000  4 Tl 3.14, 4 Ir 3.14
Tl 0.2500 0.2500 0.2500  4 Ce 3.14, 4 Tm 3.14
Tl 0.2500 0.7500 0.7500  4 Ce 3.14, 4 Tm 3.14
Tl 0.7500 0.2500 0.7500  4 Ce 3.14, 4 Tm 3.14
Tl 0.7500 0.7500 0.2500  4 Ce 3.14, 4 Tm 3.14
Ir 0.2500 0.2500 0.7500  4 Ce 3.14, 4 Tm 3.14
Ir 0.2500 0.7500 0.2500  4 Ce 3.14, 4 Tm 3.14
Ir 0.7500 0.2500 0.2500  4 Ce 3.14, 4 Tm 3.14
Ir 0.7500 0.7500 0.7500  4 Ce 3.14, 4 Tm 3.14

Results
D(E_F): 27.67 states/eV per cell
E_form: -0.383 eV/atom
M_tot: 0.12 μB/atom
VASP energy: -5.791 eV/atom
energy above the lowest structure with this stoichiometry: 193 meV per atom



No. 8
First-principles (PBE) data for a relaxed structure of Y2ScBiPt, as listed in Alexandria.

Cell lengths 5.3568, 5.3568, 5.2510 Å; angles 90.00, 90.00, 90.00 degrees
Closest atoms and distances in Å follow each position.
Atoms (fractional coordinates):
Y 0.0000 0.5000 0.0000  2 Sc 2.68
Y 0.5000 0.0000 0.0000  2 Sc 2.68
Sc 0.0000 0.0000 0.0000  2 Bi 2.63, 4 Y 2.68
Bi 0.0000 0.0000 0.5000  2 Sc 2.63
Pt 0.5000 0.5000 0.5000  8 Y 3.75, 4 Bi 3.79

Results
D(E_F): 6.00 states/eV per cell
E_form: 0.663 eV/atom
M_tot: 0.00 μB/atom
VASP energy: -5.173 eV/atom



No. 9
First-principles (PBE) data for a relaxed structure of Sm2GeP, as listed in Alexandria.

Cell lengths 4.0537, 4.0537, 21.5918 Å; angles 90.00, 90.00, 120.00 degrees
Closest atoms and distances in Å follow each position.
Atoms (fractional coordinates):
Sm 0.0000 0.0000 0.2440  3 P 2.87, 3 Ge 3.03
Sm 0.0000 0.0000 0.7560  3 P 2.87, 3 Ge 3.03
Sm 0.3333 0.6667 0.4227  3 P 2.87, 3 Ge 3.03
Sm 0.3333 0.6667 0.9106  3 P 2.87, 3 Ge 3.03
Sm 0.6667 0.3333 0.0894  3 P 2.87, 3 Ge 3.03
Sm 0.6667 0.3333 0.5773  3 P 2.87, 3 Ge 3.03
Ge 0.0000 0.0000 0.0000  6 Sm 3.03
Ge 0.3333 0.6667 0.6667  6 Sm 3.03
Ge 0.6667 0.3333 0.3333  6 Sm 3.03
P 0.0000 0.0000 0.5000  6 Sm 2.87
P 0.3333 0.6667 0.1667  6 Sm 2.87
P 0.6667 0.3333 0.8333  6 Sm 2.87

Results
D(E_F): 3.39 states/eV per cell
E_form: -1.123 eV/atom
M_tot: 0.00 μB/atom
VASP energy: -5.990 eV/atom
energy above the lowest structure with this stoichiometry: 99 meV per atom



No. 10
First-principles (PBE) data for a relaxed structure of La3BiN, as listed in Alexandria.

Cell lengths 6.1705, 6.7575, 7.1041 Å; angles 106.25, 91.82, 99.42 degrees
Closest atoms and distances in Å follow each position.
Atoms (fractional coordinates):
La 0.1841 0.1876 0.4131  2 N 2.50-2.55
La 0.2770 0.6470 0.2833  2 N 2.53-2.60
La 0.3044 0.7017 0.7817  2 N 2.55-2.61
La 0.6956 0.2983 0.2183  2 N 2.55-2.61
La 0.7230 0.3530 0.7167  2 N 2.53-2.60
La 0.8159 0.8124 0.5869  2 N 2.50-2.55
Bi 0.1973 0.2112 0.9069  9 La 3.33-3.65
Bi 0.8027 0.7888 0.0931  9 La 3.33-3.65
N 0.0000 0.5000 0.5000  6 La 2.50-2.61
N 0.5000 0.5000 0.5000  6 La 2.53-2.55

Results
D(E_F): 8.47 states/eV per cell
M_tot: 0.00 μB/atom
ΔE_f (raw): -0.946 eV per atom
VASP energy: -6.344 eV/atom



No. 11
First-principles (PBE) data for a relaxed structure of Ti2Tl2In, as listed in Alexandria.

Cell lengths 8.5190, 8.5190, 3.1128 Å; angles 90.00, 90.00, 90.00 degrees
Closest atoms and distances in Å follow each position.
Atoms (fractional coordinates):
Ti 0.1144 0.3856 0.0000  1 Ti 2.76, 6 Tl 2.93-3.00
Ti 0.3856 0.8856 0.0000  1 Ti 2.76, 6 Tl 2.93-3.00
Ti 0.6144 0.1144 0.0000  1 Ti 2.76, 6 Tl 2.93-3.00
Ti 0.8856 0.6144 0.0000  1 Ti 2.76, 6 Tl 2.93-3.00
Tl 0.1793 0.6793 0.5000  6 Ti 2.93-3.00, 2 Tl 3.11, 2 In 3.13
Tl 0.3207 0.1793 0.5000  6 Ti 2.93-3.00, 2 Tl 3.11, 2 In 3.13
Tl 0.6793 0.8207 0.5000  6 Ti 2.93-3.00, 2 Tl 3.11, 2 In 3.13
Tl 0.8207 0.3207 0.5000  6 Ti 2.93-3.00, 2 Tl 3.11, 2 In 3.13
In 0.0000 0.0000 0.5000  2 In 3.11, 4 Tl 3.13
In 0.5000 0.5000 0.5000  2 In 3.11, 4 Tl 3.13

Results
D(E_F): 10.01 states/eV per cell
E_form: 0.243 eV/atom
M_tot: 0.19 μB/atom
VASP energy: -4.410 eV/atom
energy above the lowest structure with this stoichiometry: 76 meV per atom



No. 12
First-principles (PBE) data for a relaxed structure of KRe2, as listed in Alexandria.

Cell lengths 7.8229, 7.8229, 4.7445 Å; angles 90.00, 90.00, 90.00 degrees
Closest atoms and distances in Å follow each position.
Atoms (fractional coordinates):
K 0.0000 0.0000 0.2500  2 K 2.37
K 0.0000 0.0000 0.7500  2 K 2.37
K 0.5000 0.5000 0.2500  2 K 2.37
K 0.5000 0.5000 0.7500  2 K 2.37
Re 0.1017 0.3983 0.0000  1 Re 2.25
Re 0.1017 0.6017 0.5000  1 Re 2.25
Re 0.3983 0.1017 0.5000  1 Re 2.25
Re 0.3983 0.8983 0.0000  1 Re 2.25
Re 0.6017 0.1017 0.0000  1 Re 2.25
Re 0.6017 0.8983 0.5000  1 Re 2.25
Re 0.8983 0.3983 0.5000  1 Re 2.25
Re 0.8983 0.6017 0.0000  1 Re 2.25

Results
D(E_F): 18.88 states/eV per cell
E_form: 2.198 eV/atom
M_tot: 0.00 μB/atom
VASP energy: -6.467 eV/atom
energy above the lowest structure with this stoichiometry: 1547 meV per atom